Below is a relaxed V2TcW5 crystal, with properties calculated at the PBE level.

a = 6.2565 Å, b = 12.5152 Å, c = 3.1310 Å
α = 90.00°, β = 90.00°, γ = 90.00°
With the nearest neighbours (Å) after each atom.
Space group Pbam (No. 55)
Inequivalent atoms, fractional coordinates:
V (0.2495, 0.1244, 0.0000) [4 per cell]  2 Tc 2.70, 6 W 2.71-2.72
Tc (0.0000, 0.0000, 0.5000) [2 per cell]  4 W 2.70, 4 V 2.70
W (0.0001, 0.2499, 0.5000) [4 per cell]  4 W 2.71-2.72, 4 V 2.71-2.72
W (0.0000, 0.5000, 0.5000) [2 per cell]  4 V 2.71, 4 W 2.71
W (0.2486, 0.8755, 0.0000) [4 per cell]  2 Tc 2.70, 6 W 2.71-2.72

Uncorrected energy ... -11.779 eV per atom